Entry 1:
! LiCePrCd PBE relaxed; values from VASP
&SYSTEM
  ibrav = 0, nat = 4, ntyp = 4
/
ATOMIC_SPECIES
Li 6.94 Li.upf
Ce 140.12 Ce.upf
Pr 140.91 Pr.upf
Cd 112.41 Cd.upf
ATOMIC_POSITIONS angstrom
Li -5.635 1.929 2.935
Ce -8.452 2.894 4.403
Pr -2.817 0.965 1.468
Cd 0.000 0.000 0.000
CELL_PARAMETERS angstrom
-4.759 2.485 -0.755
-4.397 -1.690 2.684
-2.114 3.063 3.942
! Magnetization: 1.5 μB/f.u.
! ΔE_f: -0.003 eV per atom
! DFT total energy: -13.6 eV per cell

=====

Entry 2:
! CePmTe PBE relaxed; values from VASP
&SYSTEM
  ibrav = 0, nat = 3, ntyp = 3
/
ATOMIC_SPECIES
Ce 140.12 Ce.upf
Te 127.60 Te.upf
Pm 145.00 Pm.upf
ATOMIC_POSITIONS angstrom
Ce 0.006 0.000 0.000
Te 1.936 0.000 3.060
Pm 1.954 2.650 1.530
CELL_PARAMETERS angstrom
3.896 0.000 0.000
0.000 5.300 0.000
0.000 -2.650 4.590
! Formation energy without anion corrections: -0.4657 eV/atom
! Magnetization: 1.9 μB/f.u.
! DFT total energy: -15.2 eV per cell
! Energy above the lowest structure with this stoichiometry: 144 kJ/mol of formula units

=====

Entry 3:
! BaLiLa2S4 PBE relaxed; values from VASP
&SYSTEM
  ibrav = 0, nat = 16, ntyp = 4
/
ATOMIC_SPECIES
La 138.91 La.upf
Li 6.94 Li.upf
S 32.06 S.upf
Ba 137.33 Ba.upf
ATOMIC_POSITIONS angstrom
La 3.483 -4.477 3.963
La 0.276 -2.850 -0.259
La 7.549 -5.020 2.764
La 10.756 -6.647 6.986
Li 3.316 -2.186 1.331
Li 7.717 -7.312 5.396
S 0.000 0.000 0.000
S 5.758 -5.964 4.952
S 1.354 -3.185 2.436
S 3.116 -2.438 -1.066
S 4.131 -2.095 5.438
S 9.679 -6.312 4.291
S 7.917 -7.059 7.794
S 5.274 -3.533 1.776
Ba 3.935 -5.534 -0.429
Ba 7.098 -3.963 7.157
CELL_PARAMETERS angstrom
-2.434 -3.354 0.557
5.205 -1.952 -4.706
8.262 -4.190 10.877
! Formation energy without anion corrections: -2.0039 eV/atom
! Magnetization: 0.0 μB/f.u.
! DFT total energy: -92.5 eV per cell

=====

Entry 4:
! Gd3ScF PBE relaxed; values from VASP
&SYSTEM
  ibrav = 0, nat = 5, ntyp = 3
/
ATOMIC_SPECIES
Gd 157.25 Gd.upf
F 19.00 F.upf
Sc 44.96 Sc.upf
ATOMIC_POSITIONS angstrom
Gd 0.000 0.000 2.506
Gd 2.506 0.000 0.000
Gd 0.000 2.506 0.000
F 0.000 0.000 0.000
Sc 2.506 2.506 2.506
CELL_PARAMETERS angstrom
5.013 0.000 0.000
0.000 5.013 0.000
0.000 0.000 5.013
! Formation energy without anion corrections: -0.9015 eV/atom
! Magnetization: 21.4 μB/f.u.
! DFT total energy: -55.0 eV per cell

=====

Entry 5:
! AcErNiRh PBE relaxed; values from VASP
&SYSTEM
  ibrav = 0, nat = 4, ntyp = 4
/
ATOMIC_SPECIES
Rh 102.91 Rh.upf
Ni 58.69 Ni.upf
Ac 227.00 Ac.upf
Er 167.26 Er.upf
ATOMIC_POSITIONS angstrom
Rh 5.019 2.898 2.049
Ni 0.000 0.000 0.000
Ac 2.509 1.449 1.024
Er 7.528 4.346 3.073
CELL_PARAMETERS angstrom
5.019 0.000 0.000
2.509 4.346 0.000
2.509 1.449 4.098
! Magnetization: 0.0 μB/f.u.
! ΔE_f: -0.428 eV per atom
! DFT total energy: -23.5 eV per cell

=====

Entry 6:
! Pm2Sm3 PBE relaxed; values from VASP
&SYSTEM
  ibrav = 0, nat = 10, ntyp = 2
/
ATOMIC_SPECIES
Sm 150.36 Sm.upf
Pm 145.00 Pm.upf
ATOMIC_POSITIONS angstrom
Sm 0.899 1.362 4.012
Sm 0.899 2.333 9.559
Sm 2.698 8.980 8.611
Sm 2.698 5.495 9.101
Sm 0.899 4.848 3.523
Sm 2.698 8.010 3.064
Pm 2.698 2.799 1.215
Pm 0.899 6.786 6.282
Pm 0.899 7.543 11.409
Pm 2.698 3.557 6.341
CELL_PARAMETERS angstrom
3.597 0.000 0.000
0.000 8.793 1.559
0.000 1.550 11.064
! Magnetization: 0.0 μB/f.u.
! ΔE_f: 0.037 eV per atom
! DFT total energy: -46.9 eV per cell

=====

Entry 7:
! In2PH PBE relaxed; values from VASP
&SYSTEM
  ibrav = 0, nat = 4, ntyp = 3
/
ATOMIC_SPECIES
H 1.01 H.upf
P 30.97 P.upf
In 114.82 In.upf
ATOMIC_POSITIONS angstrom
H 0.000 0.000 0.000
P 3.319 3.319 3.319
In 1.660 1.660 1.660
In 4.979 4.979 4.979
CELL_PARAMETERS angstrom
0.000 3.319 3.319
3.319 0.000 3.319
3.319 3.319 0.000
! Magnetization: 0.0 μB/f.u.
! DFT total energy: -12.8 eV per cell
! Energy above the lowest structure with this stoichiometry: 58 kJ/mol of formula units

=====

Entry 8:
! Dy6Ho4Th PBE relaxed; values from VASP
&SYSTEM
  ibrav = 0, nat = 11, ntyp = 3
/
ATOMIC_SPECIES
Dy 162.50 Dy.upf
Ho 164.93 Ho.upf
Th 232.04 Th.upf
ATOMIC_POSITIONS angstrom
Dy 0.000 3.766 0.000
Dy 1.786 1.786 4.163
Dy 3.766 0.000 0.000
Dy 5.552 1.980 2.405
Dy 1.980 5.552 2.405
Dy -1.786 -1.786 4.163
Ho 1.270 1.270 1.011
Ho 2.497 -2.497 5.557
Ho 6.263 6.263 1.011
Ho -2.497 2.497 5.557
Th 3.766 3.766 0.000
CELL_PARAMETERS angstrom
7.532 0.000 0.000
0.000 7.532 0.000
-3.766 -3.766 6.568
! Magnetization: 0.0 μB/f.u.
! ΔE_f: 0.456 eV per atom
! DFT total energy: -48.3 eV per cell
! Energy above the lowest structure with this stoichiometry: 328 kJ/mol of formula units

=====

Entry 9:
! Ba3CdB PBE relaxed; values from VASP
&SYSTEM
  ibrav = 0, nat = 5, ntyp = 3
/
ATOMIC_SPECIES
Cd 112.41 Cd.upf
B 10.81 B.upf
Ba 137.33 Ba.upf
ATOMIC_POSITIONS angstrom
Cd -1.468 -4.388 -2.276
B 0.000 0.000 0.000
Ba -0.501 -2.579 1.401
Ba -2.502 -0.368 -1.572
Ba 1.535 -1.441 -2.105
CELL_PARAMETERS angstrom
-5.003 -0.736 -3.144
3.069 -2.882 -4.210
-1.001 -5.158 2.801
! Magnetization: 2.1 μB/f.u.
! ΔE_f: 0.324 eV per atom
! DFT total energy: -11.7 eV per cell
! Energy above the lowest structure with this stoichiometry: 0 kJ/mol of formula units

=====

Entry 10:
! VSn2Pd2 PBE relaxed; values from VASP
&SYSTEM
  ibrav = 0, nat = 10, ntyp = 3
/
ATOMIC_SPECIES
Sn 118.71 Sn.upf
V 50.94 V.upf
Pd 106.42 Pd.upf
ATOMIC_POSITIONS angstrom
Sn 2.631 6.471 0.000
Sn 6.471 5.049 0.000
Sn 5.049 1.209 0.000
Sn 1.209 2.631 0.000
V 0.000 0.000 0.000
V 3.840 3.840 0.000
Pd 4.910 6.611 1.611
Pd 6.611 2.771 1.611
Pd 1.069 4.910 1.611
Pd 2.771 1.069 1.611
CELL_PARAMETERS angstrom
7.680 0.000 0.000
0.000 7.680 0.000
0.000 0.000 3.222
! Magnetization: 2.9 μB/f.u.
! ΔE_f: -0.083 eV per atom
! DFT total energy: -55.8 eV per cell

=====

Entry 11:
! ScCr2Ni PBE relaxed; values from VASP
&SYSTEM
  ibrav = 0, nat = 4, ntyp = 3
/
ATOMIC_SPECIES
Sc 44.96 Sc.upf
Ni 58.69 Ni.upf
Cr 52.00 Cr.upf
ATOMIC_POSITIONS angstrom
Sc -4.690 -0.034 1.002
Ni -2.520 0.649 -0.649
Cr -2.937 0.735 3.351
Cr -2.105 -0.537 1.687
CELL_PARAMETERS angstrom
-2.869 1.983 -2.950
-1.467 -2.248 -0.084
-2.873 0.881 3.387
! Magnetization: 0.0 μB/f.u.
! ΔE_f: 0.279 eV per atom
! DFT total energy: -30.2 eV per cell
! Energy above the lowest structure with this stoichiometry: 91 kJ/mol of formula units

=====

Entry 12:
! Pm4Sm2Dy5 PBE relaxed; values from VASP
&SYSTEM
  ibrav = 0, nat = 11, ntyp = 3
/
ATOMIC_SPECIES
Dy 162.50 Dy.upf
Sm 150.36 Sm.upf
Pm 145.00 Pm.upf
ATOMIC_POSITIONS angstrom
Dy -1.442 2.225 0.871
Dy -7.884 5.941 1.096
Dy -1.335 0.154 -2.604
Dy -4.920 4.983 -0.480
Dy -4.406 3.182 2.446
Sm -4.964 6.776 2.945
Sm -4.362 1.390 -0.979
Pm -7.435 2.541 0.664
Pm -5.120 8.468 -0.172
Pm -4.206 -0.302 2.138
Pm -1.891 5.624 1.302
CELL_PARAMETERS angstrom
-2.669 0.308 -5.207
-5.548 -1.352 2.764
-1.109 9.210 4.410
! Magnetization: 0.0 μB/f.u.
! ΔE_f: 0.105 eV per atom
! DFT total energy: -50.3 eV per cell
! Energy above the lowest structure with this stoichiometry: 0 kJ/mol of formula units

=====

Entry 13:
! Sc2SnP PBE relaxed; values from VASP
&SYSTEM
  ibrav = 0, nat = 4, ntyp = 3
/
ATOMIC_SPECIES
Sc 44.96 Sc.upf
Sn 118.71 Sn.upf
P 30.97 P.upf
ATOMIC_POSITIONS angstrom
Sc -1.746 -27.004 3.301
Sc -0.161 -2.491 0.305
Sn -0.953 -14.748 1.803
P 0.000 0.000 0.000
CELL_PARAMETERS angstrom
-1.225 -10.013 -0.593
1.218 -9.903 1.604
-1.900 -9.580 2.595
! Magnetization: 0.0 μB/f.u.
! ΔE_f: -0.073 eV per atom
! DFT total energy: -22.4 eV per cell
! Energy above the lowest structure with this stoichiometry: 379 kJ/mol of formula units

=====

Entry 14:
! NpSBrO6 PBE relaxed; values from VASP
&SYSTEM
  ibrav = 0, nat = 9, ntyp = 4
/
ATOMIC_SPECIES
O 16.00 O.upf
Br 79.90 Br.upf
S 32.06 S.upf
Np 237.00 Np.upf
ATOMIC_POSITIONS angstrom
O -4.976 2.120 3.294
O -5.214 -0.014 5.065
O -1.766 0.799 5.425
O -7.297 -0.010 2.856
O -7.545 2.555 4.144
O -1.675 -1.244 3.977
Br -0.317 -0.049 0.072
S -2.092 0.246 3.990
Np -6.394 1.255 4.556
CELL_PARAMETERS angstrom
-4.366 3.789 2.474
-6.310 -1.006 -0.315
1.356 -1.369 6.186
! Formation energy without anion corrections: -1.4932 eV/atom
! Magnetization: 0.0 μB/f.u.
! DFT total energy: -61.9 eV per cell

=====

Entry 15:
! BeV2Tc PBE relaxed; values from VASP
&SYSTEM
  ibrav = 0, nat = 8, ntyp = 3
/
ATOMIC_SPECIES
V 50.94 V.upf
Tc 98.00 Tc.upf
Be 9.01 Be.upf
ATOMIC_POSITIONS angstrom
V 4.985 5.145 1.769
V 1.822 4.985 0.590
V 8.308 8.148 1.769
V 4.825 1.662 0.590
Tc 0.000 0.000 0.000
Tc 6.647 3.323 1.179
Be 3.323 6.647 1.179
Be 3.323 3.323 0.000
CELL_PARAMETERS angstrom
6.647 0.000 0.000
0.000 6.647 0.000
3.323 3.323 2.358
! Magnetization: 0.0 μB/f.u.
! ΔE_f: 0.418 eV per atom
! DFT total energy: -61.3 eV per cell

=====

Entry 16:
! USiP2Ru5 PBE relaxed; values from VASP
&SYSTEM
  ibrav = 0, nat = 9, ntyp = 4
/
ATOMIC_SPECIES
U 238.03 U.upf
Ru 101.07 Ru.upf
Si 28.09 Si.upf
P 30.97 P.upf
ATOMIC_POSITIONS angstrom
U 1.398 2.227 3.890
Ru 3.229 2.094 7.304
Ru -1.318 0.156 2.056
Ru 0.514 0.023 5.470
Ru 0.653 3.297 7.541
Ru 1.258 -1.047 1.819
Si 0.000 0.000 0.000
P 1.190 1.100 7.352
P -0.163 -1.055 3.588
CELL_PARAMETERS angstrom
-3.460 -1.002 1.817
1.692 -3.408 1.343
2.796 4.455 7.780
! Formation energy without anion corrections: -0.3381 eV/atom
! Magnetization: 1.9 μB/f.u.
! DFT total energy: -77.0 eV per cell

=====

Entry 17:
! LiCd2H6Os PBE relaxed; values from VASP
&SYSTEM
  ibrav = 0, nat = 10, ntyp = 4
/
ATOMIC_SPECIES
H 1.01 H.upf
Os 190.23 Os.upf
Cd 112.41 Cd.upf
Li 6.94 Li.upf
ATOMIC_POSITIONS angstrom
H 4.094 -1.265 3.518
H 4.094 1.265 3.518
H 1.103 3.679 0.664
H 1.103 1.149 0.664
H 1.103 2.414 2.854
H 4.094 0.000 1.327
Os 0.000 0.000 0.000
Cd 4.213 2.414 1.394
Cd 0.984 0.000 2.788
Li 2.598 0.000 0.000
CELL_PARAMETERS angstrom
5.197 0.000 0.000
0.000 4.828 0.000
0.000 -2.414 4.181
! Magnetization: 0.0 μB/f.u.
! DFT total energy: -34.8 eV per cell

=====

Entry 18:
! Ho3ZrGa12 PBE relaxed; values from VASP
&SYSTEM
  ibrav = 0, nat = 16, ntyp = 3
/
ATOMIC_SPECIES
Ho 164.93 Ho.upf
Ga 69.72 Ga.upf
Zr 91.22 Zr.upf
ATOMIC_POSITIONS angstrom
Ho 8.189 1.465 9.761
Ho 2.654 0.475 3.163
Ho 5.421 0.970 6.462
Ga 9.073 -1.352 9.338
Ga 8.310 0.284 6.969
Ga 0.728 -1.642 2.328
Ga 5.563 -0.208 3.693
Ga 6.356 -1.838 6.099
Ga 3.467 -1.151 5.593
Ga 11.050 0.774 10.234
Ga 2.823 -0.698 0.428
Ga 3.639 -2.324 2.860
Ga 0.935 -2.808 -0.363
Ga 6.215 -0.660 8.868
Ga 8.954 -0.170 12.134
Zr 0.000 0.000 0.000
CELL_PARAMETERS angstrom
-1.160 -3.751 1.537
3.031 -1.864 -2.263
10.842 1.940 12.925
! Magnetization: 0.0 μB/f.u.
! ΔE_f: -0.517 eV per atom
! DFT total energy: -66.9 eV per cell

=====

Entry 19:
! BePSe PBE relaxed; values from VASP
&SYSTEM
  ibrav = 0, nat = 3, ntyp = 3
/
ATOMIC_SPECIES
Se 78.96 Se.upf
Be 9.01 Be.upf
P 30.97 P.upf
ATOMIC_POSITIONS angstrom
Se 0.918 -4.902 3.145
Be 0.012 -0.037 0.043
P 1.610 -1.705 0.364
CELL_PARAMETERS angstrom
-1.776 -1.927 -1.174
2.772 0.040 -0.747
1.544 -4.757 5.473
! Formation energy without anion corrections: 0.2779 eV/atom
! Magnetization: 0.0 μB/f.u.
! DFT total energy: -11.8 eV per cell
! Energy above the lowest structure with this stoichiometry: 49 kJ/mol of formula units

=====

Entry 20:
! TbNdHoEr3 PBE relaxed; values from VASP
&SYSTEM
  ibrav = 0, nat = 12, ntyp = 4
/
ATOMIC_SPECIES
Er 167.26 Er.upf
Nd 144.24 Nd.upf
Ho 164.93 Ho.upf
Tb 158.93 Tb.upf
ATOMIC_POSITIONS angstrom
Er 2.657 2.260 5.374
Er 0.886 -1.762 9.647
Er 0.886 5.167 4.427
Er 2.657 9.188 0.155
Er 0.886 4.083 7.817
Er 2.657 3.344 1.985
Nd 0.886 0.404 2.913
Nd 2.657 7.023 6.889
Ho 0.886 -0.671 6.282
Ho 2.657 8.098 3.520
Tb 2.657 1.174 8.731
Tb 0.886 6.252 1.070
CELL_PARAMETERS angstrom
3.543 0.000 0.000
0.000 10.663 -0.301
0.000 -3.237 10.103
! Magnetization: 0.0 μB/f.u.
! ΔE_f: 0.021 eV per atom
! DFT total energy: -55.1 eV per cell